Record 1
{
  "formula": "CaLa3Ir",
  "functional": "GGA-PBE",
  "state": "relaxed",
  "cell": [[5.742, 0.000, 0.000], [0.000, 5.742, 0.000], [0.000, 0.000, 5.742]],
  "species": ["La", "La", "Ir", "La", "Ca"],
  "fractional_positions": [[0.000, 0.000, 0.500], [0.500, 0.000, 0.000], [0.000, 0.000, 0.000], [0.000, 0.500, 0.000], [0.500, 0.500, 0.500]],
  "e_above_lowest_polymorph_mev_per_atom": 18,
  "dos_ef_per_ev_cell": 8.400,
  "formation_enthalpy_0k_mev_per_atom": -333
}



Record 2
{
  "formula": "KTcAs2",
  "functional": "GGA-PBE",
  "state": "relaxed",
  "cell": [[-3.021, 0.346, -1.454], [1.109, -1.681, -2.703], [-2.328, -6.734, 3.232]],
  "species": ["Tc", "As", "As", "K"],
  "fractional_positions": [[0.500, 0.500, 0.862], [0.000, 0.000, 0.956], [0.500, 0.500, 0.187], [0.000, 0.000, 0.495]],
  "e_above_lowest_polymorph_mev_per_atom": 442,
  "dos_ef_per_ev_cell": 3.065,
  "formation_enthalpy_0k_mev_per_atom": 194
}



Record 3
{
  "formula": "ErNpTeSe2",
  "functional": "GGA-PBE",
  "state": "relaxed",
  "cell": [[-0.771, 3.102, 3.246], [-3.899, 1.169, -2.045], [-1.056, -6.896, 3.144]],
  "species": ["Er", "Se", "Np", "Te", "Se"],
  "fractional_positions": [[0.864, 0.864, 0.729], [0.752, 0.252, 0.504], [0.127, 0.127, 0.254], [0.504, 0.504, 0.008], [0.252, 0.752, 0.504]],
  "dos_ef_per_ev_cell": 10.563,
  "final_energy_ev_per_cell": -32.43
}